An optimized crystal structure of Tb7NdZn4. Source: Alexandria via LeMat-Bulk, functional GGA-PBE.

Unit cell a=14.032 b=5.586 c=9.712 alpha=90.00 beta=122.84 gamma=90.00
Space group C2/m (No. 12)
Inequivalent atoms, fractional coordinates:
Tb: 0.000 0.000 0.000
Tb: 0.071 0.500 0.406
Tb: 0.208 0.500 0.880
Tb: 0.222 0.000 0.672
Nd: 0.000 0.500 0.000
Zn: 0.039 0.000 0.729
Zn: 0.180 0.000 0.338

Electronic total energy, eV per atom: -3.53
D(E_F), states/eV/f.u.: 13.7


An optimized crystal structure of Sr2CdRuC. Source: Alexandria via LeMat-Bulk, functional GGA-PBE.

Unit cell a=6.130 b=6.130 c=4.906 alpha=90.00 beta=90.00 gamma=90.00
Space group P4/mmm (No. 123)
Inequivalent atoms, fractional coordinates:
Sr: 0.000 0.500 0.000
Cd: 0.000 0.000 0.000
Ru: 0.000 0.000 0.500
C: 0.500 0.500 0.500

Electronic total energy, eV per atom: -2.76
D(E_F), states/eV/f.u.: 11.7


An optimized crystal structure of Ba5C. Source: Alexandria via LeMat-Bulk, functional GGA-PBE.

Unit cell a=9.4521 b=9.4521 c=4.0664 alpha=90.00 beta=90.00 gamma=120.00
Space group P-62m (No. 189)
Inequivalent atoms, fractional coordinates:
Ba: 0.0000 0.7860 0.0000
Ba: 0.3333 0.6667 0.5000
C: 0.0000 0.0000 0.5000

Electronic total energy, eV per atom: -2.67
D(E_F), states/eV/f.u.: 6.3


An optimized crystal structure of Tb4HgPt2. Source: Alexandria via LeMat-Bulk, functional GGA-PBE.

Unit cell a=4.6699 b=4.6699 c=30.0489 alpha=90.00 beta=90.00 gamma=120.00
Space group R-3m (No. 166, hexagonal axes)
Inequivalent atoms, fractional coordinates:
Tb: 0.0000 0.0000 0.1121
Tb: 0.0000 0.0000 0.2989
Hg: 0.0000 0.0000 0.5000
Pt: 0.0000 0.0000 0.4001

Electronic total energy, eV per atom: -5.19
D(E_F), states/eV/f.u.: 7.3


An optimized crystal structure of Tm4NiS3. Source: Alexandria via LeMat-Bulk, functional GGA-PBE.

Unit cell a=7.883 b=11.010 c=3.782 alpha=90.00 beta=90.00 gamma=90.00
Space group Cmmm (No. 65)
Inequivalent atoms, fractional coordinates:
Tm: 0.000 0.245 0.000
Tm: 0.237 0.000 0.500
Ni: 0.000 0.000 0.000
S: 0.000 0.500 0.000
S: 0.250 0.250 0.500

D(E_F), states/eV/f.u.: 4.1
E_form (uncorrected), eV/atom: -1.539


An optimized crystal structure of Ce11Ga9Cu4. Source: Alexandria via LeMat-Bulk, functional GGA-PBE.

Unit cell a=12.976 b=19.643 c=4.151 alpha=90.00 beta=90.00 gamma=90.00
Space group Cmmm (No. 65)
Inequivalent atoms, fractional coordinates:
Ce: 0.000 0.000 0.000
Ce: 0.000 0.164 0.000
Ce: 0.000 0.370 0.000
Ce: 0.201 0.500 0.000
Ce: 0.231 0.179 0.000
Ga: 0.000 0.500 0.500
Ga: 0.105 0.268 0.500
Ga: 0.144 0.074 0.500
Cu: 0.154 0.400 0.500

Electronic total energy, eV per atom: -4.94
D(E_F), states/eV/f.u.: 49.4


Q: Among the records above, which one has the lowest D(E_F)?
A: Tm4NiS3


Q: What is the D(E_F) in the third record?
A: 6.3 states/eV/f.u.